A geometry-optimized YGe2B structure. Source: the Alexandria database, functional PBE.

Computed properties:
- density of states at the Fermi level (states/eV/f.u.) = 0.3
- E_form (meV per atom) = -108
- calculated density (g/cm³) = 5.8
- energy (eV per formula unit) = -22.81
- space group = I-42d

Lattice parameters (Å, degrees): 6.9122 6.9122 5.8867 90.00 90.00 90.00
Closest atoms and distances in Å follow each position.
Atoms (fractional coordinates):
Y1 0.0000 0.0000 0.0000  2 B 2.94, 8 Ge 2.99-3.02
Y2 0.0000 0.5000 0.2500  2 B 2.94, 8 Ge 2.99-3.02
Y3 0.5000 0.0000 0.7500  2 B 2.94, 8 Ge 2.99-3.02
Y4 0.5000 0.5000 0.5000  2 B 2.94, 8 Ge 2.99-3.02
Ge1 0.1641 0.2500 0.6250  2 B 2.19
Ge2 0.2500 0.6641 0.8750  2 B 2.19
Ge3 0.2500 0.8359 0.3750  2 B 2.19
Ge4 0.3359 0.2500 0.1250  2 B 2.19
Ge5 0.6641 0.7500 0.1250  2 B 2.19
Ge6 0.7500 0.1641 0.3750  2 B 2.19
Ge7 0.7500 0.3359 0.8750  2 B 2.19
Ge8 0.8359 0.7500 0.6250  2 B 2.19
B1 0.0000 0.0000 0.5000  4 Ge 2.19
B2 0.0000 0.5000 0.7500  4 Ge 2.19
B3 0.5000 0.0000 0.2500  4 Ge 2.19
B4 0.5000 0.5000 0.0000  4 Ge 2.19